1) CeHoHgOs: optimized geometry, PBE.

Structure (POSCAR):
```
CeHoHgOs
1.0
5.0634 0.0000 0.0000
2.5317 4.3850 0.0000
2.5317 1.4617 4.1343
Ho Os Ce Hg
1 1 1 1
direct
0.5000 0.5000 0.5000
0.7500 0.7500 0.7500
0.0000 0.0000 0.0000
0.2500 0.2500 0.2500
```

Calculated values
* D(E_F): 1.18 states/eV per atom
* V: 22.95 Å³/atom
* space-group type: F-43m

---

2) CeHoHgOs: optimized geometry, PBE.

Structure (POSCAR):
```
CeHoHgOs
1.0
3.3672 0.0000 0.0000
0.0000 3.3672 0.0000
0.0000 0.0000 8.1756
Ce Ho Hg Os
1 1 1 1
direct
0.5000 0.5000 0.3611
0.5000 0.5000 0.7873
0.0000 0.0000 0.0604
0.0000 0.0000 0.5759
```

Calculated values
* D(E_F): 1.13 states/eV per atom
* V: 23.17 Å³/atom
* space-group type: P4mm

---

What are the relative energies? In meV per atom: 1) 151; 2) 0.

---

1) CeHgI3: optimized geometry, PBE.

Structure (POSCAR):
```
CeHgI3
1.0
-7.1622 0.9718 3.5162
-1.9386 -4.3862 6.4504
0.9611 6.1148 9.4547
I Hg Ce
6 2 2
direct
0.5809 0.9408 0.1764
0.6982 0.4191 0.8236
0.3018 0.5809 0.1764
0.0592 0.6982 0.8236
0.4191 0.0592 0.8236
0.9408 0.3018 0.1764
0.8389 0.8389 0.4834
0.1611 0.1611 0.5166
0.3332 0.3332 0.0003
0.6668 0.6668 0.9997
```

Calculated values
* D(E_F): 1.16 states/eV per atom
* V: 57.65 Å³/atom
* space-group type: R-3

---

2) CeHgI3: optimized geometry, PBE.

Structure (POSCAR):
```
CeHgI3
1.0
6.2594 0.0000 0.0000
0.0000 6.2594 0.0000
0.0000 0.0000 6.2594
I Ce Hg
3 1 1
direct
0.0000 0.5000 0.0000
0.5000 0.0000 0.0000
0.0000 0.0000 0.5000
0.0000 0.0000 0.0000
0.5000 0.5000 0.5000
```

Calculated values
* D(E_F): 1.65 states/eV per atom
* V: 49.05 Å³/atom
* space-group type: Pm-3m

---

What are the relative energies? In meV per atom: 1) 0; 2) 82.

---

1) Ce6In2Hg: optimized geometry, PBE.

Structure (POSCAR):
```
Ce6In2Hg
1.0
-1.8695 -2.4977 -1.4830
4.2276 -6.2751 5.2391
-7.7275 4.0212 2.9687
Ce In Hg
6 2 1
direct
0.5000 0.2909 0.2909
0.0000 0.3810 0.0000
0.0000 0.6190 0.6190
0.0000 0.0000 0.3810
0.5000 0.7091 0.0000
0.5000 0.0000 0.7091
0.5000 0.6667 0.3333
0.5000 0.3333 0.6667
0.0000 0.0000 0.0000
```

Calculated values
* D(E_F): 3.06 states/eV per atom
* V: 28.15 Å³/atom
* space-group type: P-62m

---

2) Ce6In2Hg: optimized geometry, PBE.

Structure (POSCAR):
```
Ce6In2Hg
1.0
-2.9245 0.0434 -0.9633
2.8207 2.0505 -8.4714
-0.9582 -8.7569 2.5148
Hg In Ce
1 2 6
direct
0.0000 0.0000 0.0000
0.0000 0.6667 0.3333
0.0000 0.3333 0.6667
0.5000 0.6725 0.0000
0.5000 0.3275 0.0000
0.5000 0.0000 0.6725
0.5000 0.0000 0.3275
0.5000 0.6725 0.6725
0.5000 0.3275 0.3275
```

Calculated values
* D(E_F): 2.85 states/eV per atom
* V: 24.87 Å³/atom
* space-group type: P6/mmm

---

What are the relative energies? In meV per atom: 1) 19; 2) 0.

---

1) Ce2In2Hg: optimized geometry, PBE.

Structure (POSCAR):
```
Ce2In2Hg
1.0
4.2992 0.0000 1.2986
1.8933 5.7704 1.4977
-1.0170 -0.1496 11.1330
In Ce Hg
4 4 2
direct
0.3886 0.1112 0.6114
0.6114 0.8888 0.3886
0.1113 0.3888 0.8886
0.8887 0.6112 0.1114
0.6061 0.1823 0.1058
0.1058 0.6823 0.6058
0.8942 0.3177 0.3942
0.3939 0.8177 0.8942
0.2501 0.7500 0.2500
0.7499 0.2500 0.7500
```

Calculated values
* D(E_F): 2.88 states/eV per atom
* V: 28.44 Å³/atom
* space-group type: Immm

---

2) Ce2In2Hg: optimized geometry, PBE.

Structure (POSCAR):
```
Ce2In2Hg
1.0
-1.3671 0.9046 -2.8097
1.2404 -2.9904 0.3167
-13.2009 -4.9648 4.8245
Hg In Ce
1 2 2
direct
0.0000 0.0000 0.0000
0.6667 0.3333 0.5898
0.3333 0.6667 0.4102
0.0000 0.0000 0.7782
0.0000 0.0000 0.2218
```

Calculated values
* D(E_F): 2.25 states/eV per atom
* V: 27.32 Å³/atom
* space-group type: P-3m1

---

What are the relative energies? In meV per atom: 1) 0; 2) 226.

---

1) CeIn3Hg3: optimized geometry, PBE.

Structure (POSCAR):
```
CeIn3Hg3
1.0
-3.6182 5.6491 3.2708
-6.1637 -2.8746 -3.0735
-1.6044 -3.6500 5.5476
In Hg Ce
6 6 2
direct
0.3588 0.6412 0.5000
0.7399 0.2601 0.0000
0.2601 0.7399 0.0000
0.2254 0.2254 0.4822
0.6412 0.3588 0.5000
0.7746 0.7746 0.5178
0.5220 0.0032 0.7354
0.9976 0.9976 0.2244
0.0024 0.0024 0.7756
0.4780 0.9968 0.2646
0.0032 0.5220 0.7354
0.9968 0.4780 0.2646
0.2890 0.2890 0.9720
0.7110 0.7110 0.0280
```

Calculated values
* D(E_F): 1.35 states/eV per atom
* V: 26.99 Å³/atom
* space-group type: C2/m

---

2) CeIn3Hg3: optimized geometry, PBE.

Structure (POSCAR):
```
CeIn3Hg3
1.0
-5.2202 -0.6777 5.8417
2.0962 -7.5125 1.0016
5.4946 2.2221 5.1679
Hg Ce In
6 2 6
direct
0.0000 0.5000 0.7500
0.0000 0.5000 0.2500
0.2500 0.0000 0.5000
0.5000 0.7500 0.0000
0.5000 0.2500 0.0000
0.7500 0.0000 0.5000
0.5000 0.5000 0.5000
0.0000 0.0000 0.0000
0.0000 0.2500 0.5000
0.0000 0.7500 0.5000
0.7500 0.5000 0.0000
0.5000 0.0000 0.7500
0.2500 0.5000 0.0000
0.5000 0.0000 0.2500
```

Calculated values
* D(E_F): 1.78 states/eV per atom
* V: 34.73 Å³/atom
* space-group type: Pm-3n

---

What are the relative energies? In meV per atom: 1) 0; 2) 419.

---

1) CeIn2Hg4: optimized geometry, PBE.

Structure (POSCAR):
```
CeIn2Hg4
1.0
5.0902 0.0000 0.0000
2.5451 4.4083 0.0000
2.5451 1.4694 8.3405
Ce Hg In
1 4 2
direct
0.0000 0.0000 0.0000
0.8634 0.8634 0.4098
0.3900 0.3900 0.8300
0.6100 0.6100 0.1700
0.1366 0.1366 0.5902
0.2550 0.2550 0.2350
0.7450 0.7450 0.7650
```

Calculated values
* D(E_F): 1.14 states/eV per atom
* V: 26.74 Å³/atom
* space-group type: R-3m

---

2) CeIn2Hg4: optimized geometry, PBE.

Structure (POSCAR):
```
CeIn2Hg4
1.0
-4.9880 0.5470 -0.4939
-0.1194 -3.9345 -3.1510
-1.0660 -4.5518 5.7240
Hg Ce In
4 1 2
direct
0.5000 0.0000 0.7249
0.5000 0.0000 0.2751
0.0000 0.5000 0.7249
0.0000 0.5000 0.2751
0.5000 0.5000 0.0000
0.5000 0.5000 0.5000
0.0000 0.0000 0.0000
```

Calculated values
* D(E_F): 1.14 states/eV per atom
* V: 26.84 Å³/atom
* space-group type: P4/mmm

---

What are the relative energies? In meV per atom: 1) 10; 2) 0.

---

1) Ce6InHg: optimized geometry, PBE.

Structure (POSCAR):
```
Ce6InHg
1.0
6.6490 -0.1011 -0.7680
-2.5675 6.1341 -0.7680
-1.4429 -2.1328 5.9574
In Ce Hg
1 6 1
direct
0.0000 0.0000 0.0000
0.0426 0.5399 0.2371
0.7856 0.7856 0.3161
0.5399 0.0426 0.2371
0.4601 0.9574 0.7629
0.9574 0.4601 0.7629
0.2144 0.2144 0.6839
0.5000 0.5000 0.5000
```

Calculated values
* D(E_F): 2.75 states/eV per atom
* V: 27.43 Å³/atom
* space-group type: C2/m

---

2) Ce6InHg: optimized geometry, PBE.

Structure (POSCAR):
```
Ce6InHg
1.0
4.7918 0.0000 0.0000
0.0000 4.7918 0.0000
0.0000 0.0000 9.5780
Ce Hg In
6 1 1
direct
0.5000 0.5000 0.0000
0.0000 0.5000 0.2497
0.5000 0.0000 0.2497
0.5000 0.5000 0.5000
0.5000 0.0000 0.7503
0.0000 0.5000 0.7503
0.0000 0.0000 0.0000
0.0000 0.0000 0.5000
```

Calculated values
* D(E_F): 3.18 states/eV per atom
* V: 27.49 Å³/atom
* space-group type: P4/mmm

---

What are the relative energies? In meV per atom: 1) 217; 2) 0.

---

1) LaCeInHg: optimized geometry, PBE.

Structure (POSCAR):
```
LaCeInHg
1.0
-2.5087 -3.7032 3.2390
-3.0636 -4.0079 -2.2472
1.7795 -5.2268 0.1103
La Ce In Hg
1 1 1 1
direct
0.5000 0.5000 0.5000
0.0000 0.0000 0.0000
0.2500 0.2500 0.2500
0.7500 0.7500 0.7500
```

Calculated values
* D(E_F): 2.56 states/eV per atom
* V: 29.77 Å³/atom
* space-group type: F-43m

---

2) LaCeInHg: optimized geometry, PBE.

Structure (POSCAR):
```
LaCeInHg
1.0
3.5642 0.0000 0.0000
0.0000 3.5642 0.0000
0.0000 0.0000 9.0148
In Ce Hg La
1 1 1 1
direct
0.5000 0.5000 0.1124
0.0000 0.0000 0.3617
0.5000 0.5000 0.6003
0.0000 0.0000 0.8536
```

Calculated values
* D(E_F): 2.25 states/eV per atom
* V: 28.63 Å³/atom
* space-group type: P4mm

---

What are the relative energies? In meV per atom: 1) 20; 2) 0.

---

1) CeInHgPb: optimized geometry, PBE.

Structure (POSCAR):
```
CeInHgPb
1.0
-3.5100 4.0371 -0.8443
-2.3186 0.6009 -4.8574
-5.2683 -1.0812 -0.6382
In Ce Pb Hg
1 1 1 1
direct
0.5000 0.5000 0.5000
0.7500 0.7500 0.7500
0.2500 0.2500 0.2500
0.0000 0.0000 0.0000
```

Calculated values
* D(E_F): 1.87 states/eV per atom
* V: 28.08 Å³/atom
* space-group type: F-43m

---

2) CeInHgPb: optimized geometry, PBE.

Structure (POSCAR):
```
CeInHgPb
1.0
4.6629 0.0000 0.0000
0.0000 4.6951 0.0000
0.0000 0.0000 4.9194
Hg In Ce Pb
1 1 1 1
direct
0.5000 0.0000 0.5000
0.0000 0.5000 0.5000
0.5000 0.5000 0.0000
0.0000 0.0000 0.0000
```

Calculated values
* D(E_F): 1.61 states/eV per atom
* V: 26.93 Å³/atom
* space-group type: Pmmm

---

What are the relative energies? In meV per atom: 1) 156; 2) 0.

---

1) CePuInHg: optimized geometry, PBE.

Structure (POSCAR):
```
CePuInHg
1.0
5.3998 0.0000 0.0000
2.6999 4.6764 0.0000
2.6999 1.5588 4.4089
In Ce Hg Pu
1 1 1 1
direct
0.2500 0.2500 0.2500
0.5000 0.5000 0.5000
0.7500 0.7500 0.7500
0.0000 0.0000 0.0000
```

Calculated values
* D(E_F): 3.50 states/eV per atom
* V: 27.83 Å³/atom
* space-group type: F-43m

---

2) CePuInHg: optimized geometry, PBE.

Structure (POSCAR):
```
CePuInHg
1.0
4.5961 0.0000 0.0000
0.0000 4.6185 0.0000
0.0000 0.0000 4.8563
Pu Hg In Ce
1 1 1 1
direct
0.5000 0.5000 0.0000
0.5000 0.0000 0.5000
0.0000 0.5000 0.5000
0.0000 0.0000 0.0000
```

Calculated values
* D(E_F): 2.77 states/eV per atom
* V: 25.77 Å³/atom
* space-group type: Pmmm

---

What are the relative energies? In meV per atom: 1) 59; 2) 0.

---

1) Ce5Hg2Ir2: optimized geometry, PBE.

Structure (POSCAR):
```
Ce5Hg2Ir2
1.0
8.0216 0.0000 0.0000
0.0000 6.6753 -3.4315
0.0000 0.3141 8.8195
Ce Ir Hg
10 4 4
direct
0.3286 0.9515 0.2374
0.3286 0.7140 0.7626
0.6714 0.0485 0.7626
0.1714 0.4515 0.2374
0.5000 0.5000 0.0000
0.8286 0.5485 0.7626
0.8286 0.7860 0.2374
0.0000 0.0000 0.0000
0.6714 0.2860 0.2374
0.1714 0.2140 0.7626
0.8703 0.3599 0.0000
0.1297 0.6401 0.0000
0.6297 0.8599 0.0000
0.3703 0.1401 0.0000
0.0000 0.7840 0.5680
0.0000 0.2160 0.4320
0.5000 0.7160 0.4320
0.5000 0.2840 0.5680
```

Calculated values
* D(E_F): 3.10 states/eV per atom
* V: 26.72 Å³/atom
* space-group type: Cmce

---

2) Ce5Hg2Ir2: optimized geometry, PBE.

Structure (POSCAR):
```
Ce5Hg2Ir2
1.0
-7.3809 3.7894 1.4256
-0.8783 -3.8955 5.8069
7.9344 5.7975 0.8128
Ce Ir Hg
10 4 4
direct
0.9564 0.2726 0.5000
0.7291 0.7622 0.6803
0.1682 0.1409 0.9099
0.7583 0.7310 0.0901
0.8318 0.2310 0.0901
0.2417 0.6409 0.9099
0.0436 0.7726 0.5000
0.2709 0.0819 0.3197
0.5488 0.5819 0.3197
0.4512 0.2622 0.6803
0.0000 0.8947 0.0000
0.2451 0.4775 0.5000
0.7549 0.9775 0.5000
0.5000 0.3947 0.0000
0.5520 0.0852 0.1953
0.1433 0.5852 0.1953
0.4480 0.8899 0.8047
0.8567 0.3899 0.8047
```

Calculated values
* D(E_F): 2.79 states/eV per atom
* V: 27.00 Å³/atom
* space-group type: Ima2

---

What are the relative energies? In meV per atom: 1) 0; 2) 164.

---

1) Ce5Hg2Ir: optimized geometry, PBE.

Structure (POSCAR):
```
Ce5Hg2Ir
1.0
4.9065 0.0000 0.0000
0.0000 7.4831 0.0000
0.0000 0.0000 12.0568
Ce Hg Ir
10 4 2
direct
0.0000 0.3713 0.2907
0.0000 0.8713 0.2093
0.0000 0.5000 0.0000
0.0000 0.6287 0.7093
0.5000 0.1998 0.0625
0.5000 0.8002 0.9375
0.0000 0.1287 0.7907
0.5000 0.6998 0.4375
0.0000 0.0000 0.5000
0.5000 0.3002 0.5625
0.5000 0.5952 0.1766
0.5000 0.0952 0.3234
0.5000 0.4048 0.8234
0.5000 0.9048 0.6766
0.0000 0.0000 0.0000
0.0000 0.5000 0.5000
```

Calculated values
* D(E_F): 3.37 states/eV per atom
* V: 27.67 Å³/atom
* space-group type: Pbam

---

2) Ce5Hg2Ir: optimized geometry, PBE.

Structure (POSCAR):
```
Ce5Hg2Ir
1.0
5.6641 0.0000 0.0000
-2.8321 7.9472 0.0000
0.0000 0.0000 12.2422
Ce Hg Ir
10 4 2
direct
0.7003 0.4006 0.9255
0.9449 0.8898 0.9065
0.7003 0.4006 0.5745
0.3199 0.6399 0.7500
0.6801 0.3601 0.2500
0.0551 0.1102 0.0935
0.2997 0.5994 0.0745
0.2997 0.5994 0.4255
0.0551 0.1102 0.4065
0.9449 0.8898 0.5935
0.1396 0.2793 0.6329
0.8604 0.7207 0.1329
0.8604 0.7207 0.3671
0.1396 0.2793 0.8671
0.1810 0.3619 0.2500
0.8190 0.6381 0.7500
```

Calculated values
* D(E_F): 3.96 states/eV per atom
* V: 34.44 Å³/atom
* space-group type: Cmcm

---

What are the relative energies? In meV per atom: 1) 0; 2) 313.